No. 1
! DyNpSi3 (GGA-PBE, relaxed); values from VASP
! * space-group type: No. 63
! * formation energy without anion corrections: -0.4718 eV/atom
&SYSTEM
  ibrav = 0, nat = 10, ntyp = 3
/
ATOMIC_SPECIES
Si 28.09 Si.upf
Dy 162.50 Dy.upf
Np 237.00 Np.upf
ATOMIC_POSITIONS angstrom
Si 0.980 1.756 9.186
Dy 0.980 3.385 6.770
Si 0.980 2.823 3.834
Si 2.940 2.559 2.451
Np 2.940 3.996 9.970
Dy 2.940 0.930 4.867
Si 2.940 1.492 7.803
Np 0.980 0.319 1.667
Si 2.940 2.128 0.199
Si 0.980 2.187 11.438
CELL_PARAMETERS angstrom
3.920 0.000 0.000
0.000 4.033 -0.771
0.000 0.282 12.408



No. 2
! TiCuO3 (GGA-PBE, relaxed); values from VASP
! * space-group type: No. 221
! * formation energy without anion corrections: -1.5114 eV/atom
&SYSTEM
  ibrav = 0, nat = 5, ntyp = 3
/
ATOMIC_SPECIES
O 16.00 O.upf
Ti 47.87 Ti.upf
Cu 63.55 Cu.upf
ATOMIC_POSITIONS angstrom
O 0.000 1.907 0.000
O 1.907 0.000 0.000
Ti 0.000 0.000 0.000
O 0.000 0.000 1.907
Cu 1.907 1.907 1.907
CELL_PARAMETERS angstrom
3.814 0.000 0.000
0.000 3.814 0.000
0.000 0.000 3.814



No. 3
! Rb2P2Pt3 (GGA-PBE, relaxed); values from VASP
! * space-group type: No. 12
! * ΔH_f (0 K): -3.3 eV per formula unit
&SYSTEM
  ibrav = 0, nat = 7, ntyp = 3
/
ATOMIC_SPECIES
P 30.97 P.upf
Pt 195.08 Pt.upf
Rb 85.47 Rb.upf
ATOMIC_POSITIONS angstrom
P 4.193 1.528 1.789
Pt 0.000 0.000 0.000
P 2.094 4.048 6.877
Rb 4.191 4.310 3.912
Rb 2.095 1.266 4.754
Pt 4.191 3.667 7.876
Pt 2.096 1.909 0.790
CELL_PARAMETERS angstrom
4.194 0.001 0.000
2.095 5.658 1.471
-0.002 -0.083 7.194



No. 4
! BaCN2 (GGA-PBE, relaxed); values from VASP
! * space-group type: No. 167
! * formation energy without anion corrections: -0.7412 eV/atom
&SYSTEM
  ibrav = 0, nat = 24, ntyp = 3
/
ATOMIC_SPECIES
N 14.01 N.upf
Ba 137.33 Ba.upf
C 12.01 C.upf
ATOMIC_POSITIONS angstrom
N 1.049 -3.057 -4.655
Ba 3.610 0.521 -0.640
N 7.314 1.178 -2.577
C 5.798 -2.203 -2.039
N -1.102 -3.936 -1.755
Ba -0.798 -1.492 -3.294
Ba 3.869 -2.362 -4.634
N -2.150 -4.135 -6.309
C 1.776 0.471 -3.307
C -1.572 -3.356 -0.763
N 3.176 -2.503 1.853
N 6.376 -1.424 3.507
N 2.884 -0.085 -3.386
N 1.342 -5.475 0.584
N 1.908 -6.346 4.197
Ba 0.357 -3.198 1.832
C 1.261 -4.275 -4.771
N -3.088 -6.737 -0.225
N 2.318 0.786 -6.999
C 2.965 -1.285 1.969
Ba 5.024 -4.067 0.492
Ba 0.616 -6.080 -2.162
N 5.328 -1.623 -1.046
C 2.450 -6.031 0.505
CELL_PARAMETERS angstrom
-3.752 -7.753 2.988
-0.423 0.853 -9.067
8.402 1.340 3.277



No. 5
! LaYCdTe2 (GGA-PBE, relaxed); values from VASP
! * space-group type: No. 123
! * formation energy without anion corrections: -0.4828 eV/atom
&SYSTEM
  ibrav = 0, nat = 5, ntyp = 4
/
ATOMIC_SPECIES
Te 127.60 Te.upf
La 138.91 La.upf
Y 88.91 Y.upf
Cd 112.41 Cd.upf
ATOMIC_POSITIONS angstrom
Te 2.876 0.000 0.000
Te 0.000 0.000 2.876
La 2.876 2.794 2.876
Y 0.000 0.000 0.000
Cd 0.000 2.794 0.000
CELL_PARAMETERS angstrom
5.752 0.000 0.000
0.000 5.589 0.000
0.000 0.000 5.752



No. 6
! Ac3Pr8Sc (GGA-PBE, relaxed); values from VASP
! * space-group type: No. 121
! * ΔH_f (0 K): 5.7 eV per formula unit
&SYSTEM
  ibrav = 0, nat = 12, ntyp = 3
/
ATOMIC_SPECIES
Pr 140.91 Pr.upf
Ac 227.00 Ac.upf
Sc 44.96 Sc.upf
ATOMIC_POSITIONS angstrom
Pr 0.203 2.698 1.760
Pr -4.245 6.748 4.383
Pr -3.168 5.035 6.883
Pr 2.676 1.342 -0.234
Ac -2.432 3.867 3.697
Ac 2.627 1.933 4.377
Ac 0.448 5.398 -0.680
Pr 5.420 0.583 -1.936
Pr -1.405 2.233 6.672
Sc 0.000 0.000 0.000
Pr -3.768 5.989 1.189
Pr 0.706 5.500 3.463
CELL_PARAMETERS angstrom
7.940 -0.402 -3.697
-4.612 7.331 -1.361
-0.253 0.402 8.755



No. 7
! TbNd5Y8 (GGA-PBE, relaxed); values from VASP
! * space-group type: No. 82
! * ΔH_f (0 K): 3.3 eV per formula unit
&SYSTEM
  ibrav = 0, nat = 14, ntyp = 3
/
ATOMIC_SPECIES
Y 88.91 Y.upf
Nd 144.24 Nd.upf
Tb 158.93 Tb.upf
ATOMIC_POSITIONS angstrom
Y -0.945 5.587 0.453
Y -2.773 4.024 3.247
Nd 2.965 -2.085 3.584
Y 2.124 -0.646 6.503
Tb -1.300 0.914 5.232
Y 4.603 0.604 2.406
Y 0.983 0.301 3.033
Y 5.880 -2.041 4.776
Nd 4.223 6.325 1.313
Nd 3.085 2.446 4.992
Y 0.012 3.812 5.786
Y 1.976 3.678 1.892
Nd -0.335 -3.144 6.826
Nd -1.043 2.032 0.917
CELL_PARAMETERS angstrom
8.531 -0.083 0.144
-2.965 7.999 -0.144
-2.601 -4.086 7.024



No. 8
! NdDySc2 (GGA-PBE, relaxed); values from VASP
! * space-group type: No. 123
! * ΔH_f (0 K): 0.3 eV per formula unit
! * ΔE to the lowest computed polymorph: 22 meV/atom
&SYSTEM
  ibrav = 0, nat = 4, ntyp = 3
/
ATOMIC_SPECIES
Dy 162.50 Dy.upf
Sc 44.96 Sc.upf
Nd 144.24 Nd.upf
ATOMIC_POSITIONS angstrom
Dy 1.952 1.952 0.000
Sc 0.000 0.000 5.703
Nd 1.952 1.952 3.766
Sc 0.000 0.000 1.830
CELL_PARAMETERS angstrom
3.905 0.000 0.000
0.000 3.905 0.000
0.000 0.000 7.533



No. 9
! RbTiCdF6 (GGA-PBE, relaxed); values from VASP
! * space-group type: No. 74
! * formation energy without anion corrections: -2.8551 eV/atom
&SYSTEM
  ibrav = 0, nat = 18, ntyp = 4
/
ATOMIC_SPECIES
F 19.00 F.upf
Rb 85.47 Rb.upf
Cd 112.41 Cd.upf
Ti 47.87 Ti.upf
ATOMIC_POSITIONS angstrom
F 2.418 -0.047 1.391
F 1.388 -0.047 3.969
F 1.388 3.956 3.969
F -1.388 -0.047 3.969
Rb 3.806 1.954 3.915
F 5.193 3.956 1.391
Cd -1.903 -1.954 2.680
Cd 1.903 -1.954 2.680
F 3.806 -1.954 3.802
F 3.806 1.954 0.027
F -1.388 3.956 3.969
F 2.418 3.956 1.391
F 0.000 5.863 1.557
Rb 0.000 1.954 1.445
Ti 3.806 0.000 0.000
Ti 3.806 3.909 0.000
F 0.000 1.954 5.333
F 5.193 -0.047 1.391
CELL_PARAMETERS angstrom
7.611 0.000 0.000
0.000 7.818 0.000
-3.806 -3.909 5.359



No. 10
! Tb5Sm3Er4 (GGA-PBE, relaxed); values from VASP
! * space-group type: No. 2
! * ΔH_f (0 K): 0.2 eV per formula unit
! * ΔE to the lowest computed polymorph: 0 meV/atom
&SYSTEM
  ibrav = 0, nat = 12, ntyp = 3
/
ATOMIC_SPECIES
Er 167.26 Er.upf
Tb 158.93 Tb.upf
Sm 150.36 Sm.upf
ATOMIC_POSITIONS angstrom
Er -1.736 -0.190 -0.293
Tb -1.797 5.685 7.058
Er -0.600 1.884 2.346
Sm -4.075 1.507 1.770
Tb -3.221 1.256 -3.179
Sm 0.541 3.972 5.002
Er -4.418 5.057 1.533
Tb -2.069 3.345 -0.534
Er -3.282 7.131 4.172
Sm -0.943 5.434 2.109
Tb -2.949 3.596 4.413
Tb 0.208 7.507 4.761
CELL_PARAMETERS angstrom
-0.667 7.070 -0.483
-5.434 -8.073 -5.643
1.083 7.944 10.005



These records have DOS(E_F) values of 15.0, 4.4, 2.7, 0.0, 3.3, 17.8, 20.3, 5.7, 5.3, 15.2 states/eV per cell, in the order they appear.
These records have E_tot values of -0.5317, -0.5060, -0.3591, -0.5652, -0.3088, -0.3138, -0.4038, -0.3992, -0.3814, -0.3391 Ry per atom, in the order they appear.